No. 1
Material: CdSbIO2
Method: DFT, GGA-PBEsol
State: relaxed

abc: 4.3177 4.3177 5.5711
angles: 90.00 90.00 90.00
Last column: nearest neighbours and their distance in Å.
Fractional coordinates of all 5 atoms:
Sb: 0.5000 0.5000 0.5000  4 I 3.05
O: 0.5000 0.0000 0.0000  2 Cd 2.16
O: 0.0000 0.5000 0.0000  2 Cd 2.16
Cd: 0.0000 0.0000 0.0000  4 O 2.16
I: 0.0000 0.0000 0.5000  2 Cd 2.79, 4 Sb 3.05

Output
* energy relative to the elements, uncorrected: 1.50 eV per formula unit
* energy: -16.52 eV/f.u.
* total magnetic moment: 0.072 μB/atom
* D(E_F): 3.106 states/eV per cell

No. 2
Material: BeAlSe
Method: DFT, GGA-PBEsol
State: relaxed

abc: 4.3139 4.3139 4.3139
angles: 60.00 60.00 60.00
Last column: nearest neighbours and their distance in Å.
Fractional coordinates of all 3 atoms:
Se: 0.2500 0.2500 0.2500  4 Be 2.64, 4 Al 2.64
Be: 0.5000 0.5000 0.5000  4 Se 2.64
Al: 0.0000 0.0000 0.0000  4 Se 2.64

Output
* offset from the most stable computed form: 2.07 eV/f.u.
* energy relative to the elements, uncorrected: 1.83 eV per formula unit
* energy: -10.11 eV/f.u.
* total magnetic moment: 0.000 μB/atom
* D(E_F): 2.121 states/eV per cell

No. 3
Material: Mn2SiIrRu
Method: DFT, GGA-PBEsol
State: relaxed

abc: 4.1793 4.1793 4.2245
angles: 90.00 90.00 90.00
Last column: nearest neighbours and their distance in Å.
Fractional coordinates of all 5 atoms:
Ru: 0.0000 0.0000 0.5000  2 Si 2.11
Mn: 0.0000 0.5000 0.0000  2 Si 2.09
Mn: 0.5000 0.0000 0.0000  2 Si 2.09
Si: 0.0000 0.0000 0.0000  4 Mn 2.09, 2 Ru 2.11
Ir: 0.5000 0.5000 0.5000  4 Ru 2.96, 8 Mn 2.97

Output
* energy relative to the elements, uncorrected: 5.03 eV per formula unit
* energy: -40.24 eV/f.u.
* total magnetic moment: 0.996 μB/atom
* D(E_F): 7.226 states/eV per cell